[1]
First-principles (PBE-GGA) data for crystalline Ce2ThSn2 at its relaxed geometry, as listed in the Alexandria database.

Formation energy from the elements   -0.343 eV/atom
Distance to the lowest polymorph of the same formula   18 meV/atom

```
data_Ce2ThSn2
_cell_length_a 5.0812
_cell_length_b 5.0812
_cell_length_c 13.0900
_cell_angle_alpha 90.00
_cell_angle_beta 90.00
_cell_angle_gamma 120.00
_symmetry_space_group_name_H-M 'P 63/m m c'
_symmetry_Int_Tables_number 194
_symmetry_space_group_name_Hall '-P 6c 2c'
loop_
_atom_site_label
_atom_site_fract_x
_atom_site_fract_y
_atom_site_fract_z
_atom_site_occupancy
Ce1 0.3333 0.6667 0.0266 1
Th1 0.3333 0.6667 0.7500 1
Sn1 0.0000 0.0000 0.1281 1
```



[2]
First-principles (PBE-GGA) data for crystalline Ce8Th2Sn3 at its relaxed geometry, as listed in the Alexandria database.

Formation energy from the elements   0.017 eV/atom

```
data_Ce8Th2Sn3
_cell_length_a 6.1549
_cell_length_b 6.1549
_cell_length_c 35.3818
_cell_angle_alpha 90.00
_cell_angle_beta 90.00
_cell_angle_gamma 120.00
_symmetry_space_group_name_H-M 'R -3 m'
_symmetry_Int_Tables_number 166
_symmetry_space_group_name_Hall '-R 3 2"'
loop_
_atom_site_label
_atom_site_fract_x
_atom_site_fract_y
_atom_site_fract_z
_atom_site_occupancy
Ce1 0.0000 0.0000 0.2256 1
Ce2 0.0190 0.5095 0.7225 1
Th1 0.0000 0.0000 0.1445 1
Sn1 0.0000 0.0000 0.3133 1
Sn2 0.0000 0.0000 0.5000 1
```



[3]
First-principles (PBE-GGA) data for crystalline CeThSn at its relaxed geometry, as listed in the Alexandria database.

Formation energy from the elements   -0.444 eV/atom
Distance to the lowest polymorph of the same formula   0 meV/atom

```
data_CeThSn
_cell_length_a 5.5000
_cell_length_b 5.5000
_cell_length_c 6.5899
_cell_angle_alpha 90.00
_cell_angle_beta 90.00
_cell_angle_gamma 120.00
_symmetry_space_group_name_H-M 'P 63/m m c'
_symmetry_Int_Tables_number 194
_symmetry_space_group_name_Hall '-P 6c 2c'
loop_
_atom_site_label
_atom_site_fract_x
_atom_site_fract_y
_atom_site_fract_z
_atom_site_occupancy
Ce1 0.3333 0.6667 0.2500 1
Th1 0.0000 0.0000 0.0000 1
Sn1 0.3333 0.6667 0.7500 1
```



[4]
First-principles (PBE-GGA) data for crystalline Ce3ThSn3 at its relaxed geometry, as listed in the Alexandria database.

Formation energy from the elements   -0.381 eV/atom

```
data_Ce3ThSn3
_cell_length_a 9.1818
_cell_length_b 9.1818
_cell_length_c 5.4848
_cell_angle_alpha 90.00
_cell_angle_beta 90.00
_cell_angle_gamma 120.00
_symmetry_space_group_name_H-M 'P 63/m'
_symmetry_Int_Tables_number 176
_symmetry_space_group_name_Hall '-P 6c'
loop_
_atom_site_label
_atom_site_fract_x
_atom_site_fract_y
_atom_site_fract_z
_atom_site_occupancy
Ce1 0.0136 0.2391 0.2500 1
Th1 0.3333 0.6667 0.2500 1
Sn1 0.0757 0.4543 0.7500 1
```



[5]
First-principles (PBE-GGA) data for crystalline Ce2ThSn2 at its relaxed geometry, as listed in the Alexandria database.

Formation energy from the elements   -0.361 eV/atom
Distance to the lowest polymorph of the same formula   0 meV/atom

```
data_Ce2ThSn2
_cell_length_a 8.9704
_cell_length_b 8.9704
_cell_length_c 3.5678
_cell_angle_alpha 90.00
_cell_angle_beta 90.00
_cell_angle_gamma 90.00
_symmetry_space_group_name_H-M 'P 4/m b m'
_symmetry_Int_Tables_number 127
_symmetry_space_group_name_Hall '-P 4 2ab'
loop_
_atom_site_label
_atom_site_fract_x
_atom_site_fract_y
_atom_site_fract_z
_atom_site_occupancy
Ce1 0.1056 0.3944 0.0000 1
Th1 0.0000 0.0000 0.0000 1
Sn1 0.1886 0.6886 0.5000 1
```



[6]
First-principles (PBE-GGA) data for crystalline CeTh4Sn15 at its relaxed geometry, as listed in the Alexandria database.

Formation energy from the elements   -0.463 eV/atom

```
data_CeTh4Sn15
_cell_length_a 4.7681
_cell_length_b 4.7681
_cell_length_c 23.5662
_cell_angle_alpha 90.00
_cell_angle_beta 90.00
_cell_angle_gamma 90.00
_symmetry_space_group_name_H-M 'P 4/m m m'
_symmetry_Int_Tables_number 123
_symmetry_space_group_name_Hall '-P 4 2'
loop_
_atom_site_label
_atom_site_fract_x
_atom_site_fract_y
_atom_site_fract_z
_atom_site_occupancy
Ce1 0.0000 0.0000 0.0000 1
Th1 0.0000 0.0000 0.1994 1
Th2 0.0000 0.0000 0.3999 1
Sn1 0.0000 0.5000 0.0986 1
Sn2 0.0000 0.5000 0.2996 1
Sn3 0.0000 0.5000 0.5000 1
Sn4 0.5000 0.5000 0.0000 1
Sn5 0.5000 0.5000 0.1989 1
Sn6 0.5000 0.5000 0.3997 1
```



no.,E (eV per atom)
1,-5.801
2,-5.699
3,-6.230
4,-5.700
5,-5.819
6,-5.245